(1)
DFT (GGA-PBE) results for ScCO after structural relaxation.

Unit cell a=3.559 b=3.511 c=6.624 alpha=86.04 beta=90.00 gamma=120.46
Fractional positions:
1 O 0.818 0.637 0.124
2 O 0.182 0.363 0.876
3 Sc 0.848 0.696 0.795
4 Sc 0.152 0.304 0.205
5 C 0.432 0.863 0.433
6 C 0.568 0.137 0.567

Properties
Crystal system: monoclinic
Total DFT energy (no corrections): -8.650 eV/atom

(2)
DFT (GGA-PBE) results for Sc3C2O after structural relaxation.

Unit cell a=3.223 b=3.223 c=16.662 alpha=90.00 beta=90.00 gamma=120.00
Fractional positions:
1 Sc 0.333 0.667 0.338
2 Sc 0.667 0.333 0.838
3 Sc 0.000 0.000 0.000
4 Sc 0.000 0.000 0.500
5 Sc 0.333 0.667 0.162
6 Sc 0.667 0.333 0.662
7 C 0.667 0.333 0.415
8 C 0.667 0.333 0.085
9 C 0.333 0.667 0.915
10 C 0.333 0.667 0.585
11 O 0.000 0.000 0.750
12 O 0.000 0.000 0.250

Properties
Crystal system: hexagonal
Total DFT energy (no corrections): -8.307 eV/atom

(3)
DFT (GGA-PBE) results for Sc6CO12 after structural relaxation.

Unit cell a=5.975 b=5.975 c=5.975 alpha=98.78 beta=98.78 gamma=98.78
Site moments in Bohr magnetons follow the coordinates.
Fractional positions:
1 O 0.026 0.725 0.930  0.28
2 O 0.176 0.431 0.597  0.02
3 O 0.597 0.176 0.431  0.02
4 O 0.930 0.026 0.725  0.28
5 O 0.974 0.275 0.070  0.28
6 O 0.725 0.930 0.026  0.28
7 O 0.070 0.974 0.275  0.28
8 O 0.431 0.597 0.176  0.02
9 O 0.824 0.569 0.403  0.02
10 O 0.275 0.070 0.974  0.28
11 O 0.569 0.403 0.824  0.02
12 O 0.403 0.824 0.569  0.02
13 Sc 0.142 0.609 0.310  0.00
14 Sc 0.391 0.690 0.858  0.00
15 Sc 0.690 0.858 0.391  0.00
16 Sc 0.310 0.142 0.609  0.00
17 Sc 0.858 0.391 0.690  0.00
18 Sc 0.609 0.310 0.142  0.00
19 C 0.000 0.000 0.000  -0.03

Properties
Crystal system: trigonal
Total DFT energy (no corrections): -8.149 eV/atom

(4)
DFT (GGA-PBE) results for Sc4C3O after structural relaxation.

Unit cell a=3.277 b=5.667 c=5.667 alpha=108.96 beta=90.00 gamma=90.00
Fractional positions:
1 Sc 0.500 0.753 0.247
2 Sc 0.500 0.247 0.753
3 Sc 0.000 0.747 0.747
4 Sc 0.000 0.253 0.253
5 C 0.000 0.000 0.500
6 C 0.500 0.500 0.500
7 C 0.000 0.500 0.000
8 O 0.500 0.000 0.000

Properties
Crystal system: orthorhombic
Total DFT energy (no corrections): -8.277 eV/atom

(5)
DFT (GGA-PBE) results for Sc6CO after structural relaxation.

Unit cell a=5.435 b=5.435 c=9.981 alpha=90.00 beta=90.00 gamma=90.00
Fractional positions:
1 Sc 0.290 0.735 0.500
2 Sc 0.228 0.250 0.657
3 Sc 0.772 0.750 0.343
4 Sc 0.750 0.228 0.157
5 Sc 0.710 0.265 0.500
6 Sc 0.772 0.750 0.657
7 Sc 0.735 0.710 0.000
8 Sc 0.265 0.290 0.000
9 Sc 0.250 0.772 0.843
10 Sc 0.750 0.228 0.843
11 Sc 0.250 0.772 0.157
12 Sc 0.228 0.250 0.343
13 C 0.500 0.500 0.250
14 C 0.500 0.500 0.750
15 O 0.000 0.000 0.500
16 O 0.000 0.000 0.000

Properties
Crystal system: tetragonal
Total DFT energy (no corrections): -7.231 eV/atom

(6)
DFT (GGA-PBE) results for Sc8CO2 after structural relaxation.

Unit cell a=5.502 b=6.813 c=6.813 alpha=59.15 beta=90.11 gamma=90.11
Fractional positions:
1 Sc 0.771 0.341 0.341
2 Sc 0.229 0.659 0.659
3 Sc 0.260 0.152 0.152
4 Sc 0.240 0.689 0.153
5 Sc 0.760 0.311 0.847
6 Sc 0.760 0.847 0.311
7 Sc 0.240 0.153 0.689
8 Sc 0.740 0.848 0.848
9 O 0.375 0.813 0.813
10 O 0.625 0.187 0.187
11 C 0.000 0.000 0.000

Properties
Crystal system: monoclinic
Total DFT energy (no corrections): -7.465 eV/atom

(7)
DFT (GGA-PBE) results for ScSiCO2 after structural relaxation.

Unit cell a=4.023 b=3.568 c=4.023 alpha=90.00 beta=90.00 gamma=90.00
Fractional positions:
1 C 0.000 0.000 0.000
2 O 0.500 0.000 0.000
3 O 0.000 0.000 0.500
4 Sc 0.500 0.500 0.500
5 Si 0.000 0.500 0.000

Properties
Crystal system: tetragonal
Total DFT energy (no corrections): -6.021 eV/atom

(8)
DFT (GGA-PBE) results for SmScCO after structural relaxation.

Unit cell a=3.054 b=3.246 c=6.239 alpha=105.08 beta=104.17 gamma=90.00
Fractional positions:
1 O 0.420 0.920 0.840
2 Sm 0.825 0.325 0.650
3 Sc 0.078 0.078 0.155
4 C 0.657 0.657 0.313

Properties
Crystal system: orthorhombic
Total DFT energy (no corrections): -7.517 eV/atom

(9)
DFT (GGA-PBE) results for Sc6Sn2CO after structural relaxation.

Unit cell a=6.357 b=6.357 c=6.357 alpha=60.00 beta=60.00 gamma=60.00
Fractional positions:
1 Sn 0.250 0.250 0.250
2 Sn 0.750 0.750 0.750
3 C 0.000 0.000 0.000
4 O 0.500 0.500 0.500
5 Sc 0.248 0.752 0.752
6 Sc 0.248 0.752 0.248
7 Sc 0.752 0.248 0.248
8 Sc 0.752 0.248 0.752
9 Sc 0.248 0.248 0.752
10 Sc 0.752 0.752 0.248

Properties
Crystal system: cubic
Total DFT energy (no corrections): -7.189 eV/atom

(10)
DFT (GGA-PBE) results for SrScC2O6 after structural relaxation.

Unit cell a=6.380 b=6.380 c=6.393 alpha=100.14 beta=100.14 gamma=101.31
Site moments in Bohr magnetons follow the coordinates.
Fractional positions:
1 C 0.387 0.109 0.753  0.08
2 C 0.613 0.891 0.247  0.08
3 C 0.891 0.613 0.747  0.08
4 C 0.109 0.387 0.253  0.08
5 Sc 0.416 0.584 0.750  0.58
6 Sc 0.584 0.416 0.250  0.58
7 O 0.789 0.877 0.376  0.01
8 O 0.456 0.930 0.738  -0.01
9 O 0.544 0.070 0.262  -0.01
10 O 0.211 0.123 0.624  0.01
11 O 0.709 0.492 0.610  0.00
12 O 0.492 0.709 0.110  0.00
13 O 0.508 0.291 0.890  0.00
14 O 0.291 0.508 0.390  0.00
15 O 0.123 0.211 0.124  0.01
16 O 0.930 0.456 0.238  -0.01
17 O 0.070 0.544 0.762  -0.01
18 O 0.877 0.789 0.876  0.01
19 Sr 0.140 0.860 0.250  0.01
20 Sr 0.860 0.140 0.750  0.01

Properties
Crystal system: monoclinic
Total DFT energy (no corrections): -7.691 eV/atom

(11)
DFT (GGA-PBE) results for ScTi2CO after structural relaxation.

Unit cell a=4.074 b=4.559 c=4.074 alpha=90.00 beta=90.00 gamma=90.00
Site moments in Bohr magnetons follow the coordinates.
Fractional positions:
1 Ti 0.000 0.000 0.500  0.65
2 Ti 0.500 0.000 0.000  0.66
3 O 0.500 0.500 0.500  -0.02
4 C 0.000 0.000 0.000  -0.04
5 Sc 0.000 0.500 0.000  0.35

Properties
Crystal system: tetragonal
Total DFT energy (no corrections): -7.473 eV/atom

(12)
DFT (GGA-PBE) results for Tm2Sc2C2O after structural relaxation.

Unit cell a=3.242 b=6.581 c=6.107 alpha=60.71 beta=74.61 gamma=75.74
Fractional positions:
1 O 0.000 0.000 0.000
2 Sc 0.772 0.282 0.174
3 Sc 0.228 0.718 0.826
4 C 0.866 0.535 0.733
5 C 0.134 0.465 0.267
6 Tm 0.516 0.255 0.712
7 Tm 0.484 0.745 0.288

Properties
Crystal system: monoclinic
Total DFT energy (no corrections): -7.407 eV/atom

(13)
DFT (GGA-PBE) results for TmScCO after structural relaxation.

Unit cell a=3.043 b=3.115 c=6.127 alpha=104.73 beta=104.38 gamma=90.00
Fractional positions:
1 Sc 0.084 0.084 0.168
2 C 0.661 0.661 0.322
3 O 0.409 0.909 0.817
4 Tm 0.825 0.325 0.651

Properties
Crystal system: orthorhombic
Total DFT energy (no corrections): -7.570 eV/atom

(14)
DFT (GGA-PBE) results for YScCO after structural relaxation.

Unit cell a=3.027 b=3.183 c=6.173 alpha=104.94 beta=104.19 gamma=90.00
Fractional positions:
1 Sc 0.079 0.079 0.157
2 Y 0.824 0.324 0.648
3 C 0.660 0.660 0.320
4 O 0.417 0.917 0.833

Properties
Crystal system: orthorhombic
Total DFT energy (no corrections): -8.018 eV/atom

(15)
DFT (GGA-PBE) results for Sc2ZnCO after structural relaxation.

Unit cell a=4.396 b=4.129 c=4.396 alpha=90.00 beta=90.00 gamma=90.00
Fractional positions:
1 O 0.000 0.500 0.000
2 C 0.000 0.000 0.000
3 Sc 0.500 0.000 0.000
4 Sc 0.000 0.000 0.500
5 Zn 0.500 0.500 0.500

Properties
Distance to the lowest polymorph of the same formula: 0.511 eV per atom
Crystal system: tetragonal

(16)
DFT (GGA-PBE) results for Sc2ZnCO after structural relaxation.

Unit cell a=4.498 b=4.498 c=3.697 alpha=90.00 beta=90.00 gamma=90.00
Fractional positions:
1 C 0.000 0.000 0.000
2 Zn 0.000 0.000 0.500
3 O 0.500 0.500 0.500
4 Sc 0.000 0.500 0.000
5 Sc 0.500 0.000 0.000

Properties
Distance to the lowest polymorph of the same formula: 0.000 eV per atom
Crystal system: tetragonal

(17)
DFT (GGA-PBE) results for ZrSc2CO after structural relaxation.

Unit cell a=4.419 b=4.471 c=4.419 alpha=90.00 beta=90.00 gamma=90.00
Fractional positions:
1 O 0.500 0.500 0.500
2 Sc 0.500 0.000 0.000
3 Sc 0.000 0.000 0.500
4 C 0.000 0.000 0.000
5 Zr 0.000 0.500 0.000

Properties
Crystal system: tetragonal
Total DFT energy (no corrections): -7.276 eV/atom

(18)
DFT (GGA-PBE) results for SiCSeO2 after structural relaxation.

Unit cell a=3.715 b=4.257 c=3.715 alpha=90.00 beta=90.00 gamma=90.00
Fractional positions:
1 O 0.000 0.000 0.500
2 O 0.500 0.000 0.000
3 Se 0.000 0.000 0.000
4 C 0.000 0.500 0.000
5 Si 0.500 0.500 0.500

Properties
Crystal system: tetragonal
Total DFT energy (no corrections): -4.670 eV/atom

(19)
DFT (GGA-PBE) results for Sm4CSe2O after structural relaxation.

Unit cell a=3.830 b=6.573 c=7.040 alpha=108.29 beta=90.00 gamma=90.00
Fractional positions:
1 Se 0.000 0.500 0.500
2 Se 0.500 0.000 0.500
3 Sm 0.500 0.242 0.204
4 Sm 0.500 0.758 0.796
5 Sm 0.000 0.267 0.795
6 Sm 0.000 0.733 0.205
7 C 0.500 0.500 0.000
8 O 0.000 0.000 0.000

Properties
Crystal system: monoclinic
Total DFT energy (no corrections): -6.687 eV/atom

(20)
DFT (GGA-PBE) results for Sm6C2Se3O after structural relaxation.

Unit cell a=3.840 b=8.024 c=8.907 alpha=106.59 beta=102.45 gamma=90.00
Fractional positions:
1 C 0.163 0.326 0.326
2 C 0.837 0.674 0.674
3 Sm 0.324 0.442 0.648
4 Sm 0.340 0.889 0.681
5 Sm 0.013 0.231 0.026
6 Sm 0.676 0.558 0.352
7 Sm 0.987 0.769 0.974
8 Sm 0.660 0.111 0.319
9 O 0.500 0.000 0.000
10 Se 0.165 0.832 0.331
11 Se 0.835 0.168 0.669
12 Se 0.500 0.500 0.000

Properties
Crystal system: monoclinic
Total DFT energy (no corrections): -6.666 eV/atom

no.,calculated volume (Å³/cell),M_tot (μB per cell)
1,71.11,0.00
2,149.86,0.00
3,204.88,2.06
4,99.53,0.00
5,294.79,0.00
6,219.23,0.00
7,57.74,0.00
8,57.77,0.00
9,181.62,0.00
10,245.11,2.00
11,75.67,2.16
12,108.50,0.00
13,54.29,0.00
14,55.57,0.00
15,79.80,0.00
16,74.81,0.00
17,87.30,0.00
18,58.77,0.00
19,168.27,0.00
20,256.24,0.00